No. 1
{"formula": "LiZn5Ga5", "functional": "GGA-PBE", "state": "optimized geometry", "e_tot_ev_per_atom": -2.088, "formation_enthalpy_0k_mev_per_atom": 41, "dos_ef_per_ev_cell": 2.15, "lattice": [[-2.3888, 4.0399, 1.4937], [-2.4294, -3.5543, -2.3926], [-1.9624, -4.2088, 8.2449]], "species": ["Zn", "Ga", "Ga", "Li", "Zn", "Zn", "Zn", "Ga", "Zn", "Ga", "Ga"], "fractional_positions": [[0.0000, 0.0000, 0.2593], [0.3333, 0.6667, 0.6767], [0.0000, 0.0000, 0.0000], [0.3333, 0.6667, 0.0000], [0.8313, 0.6626, 0.5000], [0.3374, 0.1687, 0.5000], [0.8313, 0.1687, 0.5000], [0.6667, 0.3333, 0.1512], [0.0000, 0.0000, 0.7407], [0.6667, 0.3333, 0.8488], [0.3333, 0.6667, 0.3233]]}

***

No. 2
{"formula": "CaNbGeTeP", "functional": "GGA-PBE", "state": "optimized geometry", "e_tot_ev_per_atom": -5.572, "e_form_raw_ev_per_atom": -0.52, "dos_ef_per_ev_cell": 1.11, "lattice": [[3.5256, 0.0026, 0.0029], [1.7615, 4.6377, -0.0153], [1.7582, -0.2094, 6.9635]], "species": ["Ge", "Te", "P", "Nb", "Ca"], "fractional_positions": [[0.7028, 0.3750, 0.2732], [0.5721, 0.9091, 0.0003], [0.2177, 0.0994, 0.5195], [0.9568, 0.8203, 0.3202], [0.4188, 0.4756, 0.7404]]}

***

No. 3
{"formula": "CdP", "functional": "GGA-PBE", "state": "optimized geometry", "e_tot_ev_per_atom": -3.010, "formation_enthalpy_0k_mev_per_atom": 153, "dos_ef_per_ev_cell": 2.39, "lattice": [[-1.7153, -7.1665, 2.3964], [1.6666, -7.0916, 2.6411], [-0.4372, 0.2486, 5.9670]], "species": ["P", "P", "Cd", "Cd", "Cd", "P"], "fractional_positions": [[0.7667, 0.7667, 0.9522], [0.0076, 0.0076, 0.5610], [0.3210, 0.3210, 0.5825], [0.1474, 0.1474, 0.2047], [0.3826, 0.3826, 0.1004], [0.5414, 0.5414, 0.7658]]}

***

No. 4
{"formula": "CaZnOF2", "functional": "GGA-PBE", "state": "optimized geometry", "e_tot_ev_per_atom": -4.843, "e_form_raw_ev_per_atom": -2.45, "dos_ef_per_ev_cell": 0.00, "lattice": [[-3.9984, 0.2321, -0.4930], [0.4517, -0.6295, -3.9603], [-0.3009, -3.9289, 0.5902]], "species": ["Ca", "O", "F", "Zn", "F"], "fractional_positions": [[0.5000, 0.5000, 0.5000], [0.0000, 0.0000, 0.5000], [0.5000, 0.0000, 0.0000], [0.0000, 0.0000, 0.0000], [0.0000, 0.5000, 0.0000]]}

***

No. 5
{"formula": "Dy2Sc4Ge3O2", "functional": "GGA-PBE", "state": "optimized geometry", "e_tot_ev_per_atom": -6.961, "e_form_raw_ev_per_atom": -1.66, "dos_ef_per_ev_cell": 7.87, "lattice": [[-3.4665, 1.8673, 1.6585], [-2.0309, -3.7589, -0.0128], [6.6597, -1.2035, 9.7712]], "species": ["Sc", "Sc", "Sc", "O", "Dy", "O", "Ge", "Dy", "Ge", "Ge", "Sc"], "fractional_positions": [[0.0790, 0.5790, 0.1579], [0.5790, 0.0790, 0.1579], [0.4210, 0.9210, 0.8421], [0.5906, 0.5906, 0.1812], [0.6953, 0.6953, 0.3906], [0.4094, 0.4094, 0.8188], [0.1721, 0.1721, 0.3442], [0.3047, 0.3047, 0.6094], [0.8279, 0.8279, 0.6558], [0.0000, 0.0000, 0.0000], [0.9210, 0.4210, 0.8421]]}

***

No. 6
{"formula": "Ca2SiW", "functional": "GGA-PBE", "state": "optimized geometry", "e_tot_ev_per_atom": -4.974, "e_form_raw_ev_per_atom": 0.62, "dos_ef_per_ev_cell": 3.63, "lattice": [[4.1761, 0.0000, 0.0000], [0.0000, 4.1761, 0.0000], [0.0000, 0.0000, 4.6941]], "species": ["Ca", "W", "Ca", "Si"], "fractional_positions": [[0.5000, 0.5000, 0.0000], [0.0000, 0.5000, 0.5000], [0.0000, 0.0000, 0.0000], [0.5000, 0.0000, 0.5000]]}

***

No. 7
{"formula": "IrPt2C", "functional": "GGA-PBE", "state": "optimized geometry", "e_tot_ev_per_atom": -6.827, "formation_enthalpy_0k_mev_per_atom": 715, "dos_ef_per_ev_cell": 11.00, "lattice": [[6.4696, 0.0000, 0.0000], [0.0000, 6.4696, 0.0000], [3.2348, 3.2348, 2.6285]], "species": ["Ir", "Pt", "C", "Pt", "Pt", "Pt", "C", "Ir"], "fractional_positions": [[0.0000, 0.0000, 0.0000], [0.3750, 0.4601, 0.7500], [0.2500, 0.7500, 0.5000], [0.5399, 0.1250, 0.2500], [0.2101, 0.6250, 0.2500], [0.8750, 0.7899, 0.7500], [0.5000, 0.5000, 0.0000], [0.7500, 0.2500, 0.5000]]}

***

No. 8
{"formula": "SrSc2Cd", "functional": "GGA-PBE", "state": "optimized geometry", "e_tot_ev_per_atom": -3.626, "formation_enthalpy_0k_mev_per_atom": 189, "dos_ef_per_ev_cell": 3.32, "lattice": [[5.2555, 0.9727, 0.1799], [2.0386, 2.9531, 3.9652], [3.0177, -2.3006, 3.7682]], "species": ["Sr", "Sc", "Cd", "Sc"], "fractional_positions": [[0.0000, 0.0000, 0.0000], [0.7500, 0.7500, 0.7500], [0.5000, 0.5000, 0.5000], [0.2500, 0.2500, 0.2500]]}

***

No. 9
{"formula": "YScGa", "functional": "GGA-PBE", "state": "optimized geometry", "e_tot_ev_per_atom": -5.614, "formation_enthalpy_0k_mev_per_atom": -340, "dos_ef_per_ev_cell": 3.28, "lattice": [[3.6119, 0.0000, 0.0000], [0.0000, 4.8173, 0.0000], [0.0000, -2.4087, 4.1719]], "species": ["Sc", "Y", "Ga"], "fractional_positions": [[0.1672, 0.0000, 0.0000], [0.6670, 0.6667, 0.3333], [0.1659, 0.3333, 0.6667]]}

***

No. 10
{"formula": "LiMgNbRh", "functional": "GGA-PBE", "state": "optimized geometry", "e_tot_ev_per_atom": -5.438, "formation_enthalpy_0k_mev_per_atom": -205, "dos_ef_per_ev_cell": 5.09, "lattice": [[-3.5167, 2.7033, -0.4270], [-2.8216, -0.5360, -3.4071], [-4.1099, -1.5577, 0.7346]], "species": ["Rh", "Nb", "Mg", "Li"], "fractional_positions": [[0.2500, 0.2500, 0.2500], [0.0000, 0.0000, 0.0000], [0.5000, 0.5000, 0.5000], [0.7500, 0.7500, 0.7500]]}

***

No. 11
{"formula": "MgCu2Au", "functional": "GGA-PBE", "state": "optimized geometry", "e_tot_ev_per_atom": -3.406, "formation_enthalpy_0k_mev_per_atom": -140, "dos_ef_per_ev_cell": 0.33, "lattice": [[-0.8944, -2.1852, 1.7535], [3.5145, -1.0812, 0.4451], [0.4717, 3.3517, 4.4176]], "species": ["Cu", "Mg", "Au", "Cu"], "fractional_positions": [[0.0000, 0.0000, 0.9986], [0.5000, 0.5000, 0.2500], [0.5000, 0.5000, 0.7500], [0.0000, 0.0000, 0.5014]]}

***

No. 12
{"formula": "SmPuSnHg", "functional": "GGA-PBE", "state": "optimized geometry", "e_tot_ev_per_atom": -6.236, "formation_enthalpy_0k_mev_per_atom": -397, "dos_ef_per_ev_cell": 10.30, "lattice": [[-2.2348, 0.1658, 2.6873], [-1.1715, -3.2044, -0.7765], [6.0481, -3.4821, 5.2445]], "species": ["Hg", "Sn", "Pu", "Sm"], "fractional_positions": [[0.5000, 0.5000, 0.6082], [0.5000, 0.5000, 0.1069], [0.0000, 0.0000, 0.3575], [0.0000, 0.0000, 0.8554]]}

***

No. 13
{"formula": "Ce3Dy3CuS8", "functional": "GGA-PBE", "state": "optimized geometry", "e_tot_ev_per_atom": -6.375, "e_form_raw_ev_per_atom": -1.79, "dos_ef_per_ev_cell": 17.95, "lattice": [[-4.2209, 4.6168, -4.7383], [3.1629, -6.6255, -2.7692], [-6.0460, -0.3522, 5.0423]], "species": ["S", "Dy", "S", "Dy", "S", "Ce", "Ce", "Ce", "S", "Dy", "S", "S", "S", "S", "Cu"], "fractional_positions": [[0.7576, 0.0060, 0.2636], [0.5000, 0.0000, 0.5000], [0.7577, 0.5154, 0.2636], [0.5000, 0.5000, 0.5000], [0.2482, 0.0059, 0.2636], [0.5000, 0.5000, 0.0000], [0.0000, 0.0000, 0.0000], [0.0000, 0.5000, 0.0000], [0.2424, 0.9940, 0.7364], [0.0000, 0.5000, 0.5000], [0.2423, 0.4846, 0.7364], [0.2538, 0.5077, 0.2615], [0.7462, 0.4923, 0.7385], [0.7518, 0.9941, 0.7364], [0.0000, 0.0000, 0.5000]]}

***

No. 14
{"formula": "TcWAu", "functional": "GGA-PBE", "state": "optimized geometry", "e_tot_ev_per_atom": -8.525, "formation_enthalpy_0k_mev_per_atom": 341, "dos_ef_per_ev_cell": 3.59, "lattice": [[-3.0267, -2.8195, -4.8430], [-5.1888, -3.3728, -1.5054], [3.1077, 4.7979, 2.8085]], "species": ["W", "Tc", "Au"], "fractional_positions": [[0.6759, 0.6759, 0.0000], [0.3243, 0.3243, 0.0000], [0.9998, 0.9998, 0.0000]]}

***

No. 15
{"formula": "SiBO", "functional": "GGA-PBE", "state": "optimized geometry", "e_tot_ev_per_atom": -6.647, "e_form_raw_ev_per_atom": -0.96, "dos_ef_per_ev_cell": 0.18, "lattice": [[-2.3718, -1.0288, 3.1878], [2.3318, -1.0998, 1.3800], [2.7756, 10.4050, 3.6029]], "species": ["Si", "B", "Si", "O", "B", "B", "O", "Si", "Si", "B", "O", "O"], "fractional_positions": [[0.1630, 0.0000, 0.2955], [0.6574, 0.0000, 0.3387], [0.8221, 0.0000, 0.0304], [0.0978, 0.0000, 0.1475], [0.8798, 0.5000, 0.3580], [0.8798, 0.0000, 0.8580], [0.6162, 0.5000, 0.0416], [0.8221, 0.5000, 0.5304], [0.1630, 0.5000, 0.7955], [0.6574, 0.5000, 0.8387], [0.0978, 0.5000, 0.6475], [0.6162, 0.0000, 0.5416]]}

***

No. 16
{"formula": "In2Ag2Au", "functional": "GGA-PBE", "state": "optimized geometry", "e_tot_ev_per_atom": -2.858, "formation_enthalpy_0k_mev_per_atom": 33, "dos_ef_per_ev_cell": 2.89, "lattice": [[7.3872, 0.0000, 0.0000], [0.0000, 7.3872, 0.0000], [0.0000, 0.0000, 3.9302]], "species": ["Ag", "In", "In", "Ag", "Ag", "Ag", "Au", "In", "In", "Au"], "fractional_positions": [[0.8634, 0.6367, 0.0000], [0.6668, 0.8332, 0.5000], [0.3332, 0.1668, 0.5000], [0.3634, 0.8634, 0.0000], [0.6367, 0.1366, 0.0000], [0.1366, 0.3634, 0.0000], [0.0000, 0.0000, 0.0000], [0.8332, 0.3332, 0.5000], [0.1668, 0.6668, 0.5000], [0.5000, 0.5000, 0.0000]]}

***

No. 17
{"formula": "NaTb3Ce2Se6", "functional": "GGA-PBE", "state": "optimized geometry", "e_tot_ev_per_atom": -5.767, "e_form_raw_ev_per_atom": -1.77, "dos_ef_per_ev_cell": 14.20, "lattice": [[-3.5046, -1.8532, -1.1137], [-1.2090, -2.4677, 7.9108], [-2.3825, 9.0008, 0.1331]], "species": ["Tb", "Se", "Ce", "Se", "Se", "Tb", "Ce", "Na", "Se", "Tb", "Se", "Se"], "fractional_positions": [[0.1659, 0.8275, 0.3319], [0.6631, 0.5883, 0.3263], [0.1683, 0.3381, 0.3366], [0.9989, 0.2538, 0.9977], [0.6676, 0.0761, 0.3353], [0.8341, 0.1725, 0.6681], [0.8317, 0.6619, 0.6634], [0.5000, 0.0000, 0.0000], [0.3369, 0.4117, 0.6737], [0.5000, 0.5000, 0.0000], [0.3324, 0.9239, 0.6647], [0.0011, 0.7462, 0.0023]]}

***

No. 18
{"formula": "Al2GaAgPb", "functional": "GGA-PBE", "state": "optimized geometry", "e_tot_ev_per_atom": -3.019, "formation_enthalpy_0k_mev_per_atom": 395, "dos_ef_per_ev_cell": 3.76, "lattice": [[4.9729, 0.0000, 0.0000], [0.0000, 5.0390, 0.0000], [0.0000, 0.0000, 4.9729]], "species": ["Ga", "Al", "Ag", "Pb", "Al"], "fractional_positions": [[0.0000, 0.5000, 0.0000], [0.0000, 0.0000, 0.5000], [0.0000, 0.0000, 0.0000], [0.5000, 0.5000, 0.5000], [0.5000, 0.0000, 0.0000]]}

***

No. 19
{"formula": "Ce2ScBePt6", "functional": "GGA-PBE", "state": "optimized geometry", "e_tot_ev_per_atom": -6.678, "formation_enthalpy_0k_mev_per_atom": -861, "dos_ef_per_ev_cell": 12.46, "lattice": [[5.6805, 0.0407, 0.0397], [-0.0703, 8.1549, 1.7239], [2.7621, 5.3458, 5.7684]], "species": ["Be", "Pt", "Pt", "Pt", "Ce", "Pt", "Sc", "Ce", "Pt", "Pt"], "fractional_positions": [[0.5000, 0.5000, 0.0000], [0.7376, 0.2624, 0.0212], [0.2412, 0.2624, 0.0212], [0.7376, 0.7588, 0.5248], [0.7887, 0.2113, 0.4225], [0.2624, 0.7376, 0.9788], [0.0000, 0.0000, 0.0000], [0.2113, 0.7887, 0.5774], [0.7588, 0.7376, 0.9788], [0.2624, 0.2412, 0.4752]]}

***

No. 20
{"formula": "LaPmDyTm3", "functional": "GGA-PBE", "state": "optimized geometry", "e_tot_ev_per_atom": -4.507, "formation_enthalpy_0k_mev_per_atom": 109, "dos_ef_per_ev_cell": 23.74, "lattice": [[5.8192, 0.0000, 0.0000], [-2.9096, 5.7579, 0.0000], [0.0000, 0.0000, 11.6467]], "species": ["La", "Dy", "Tm", "Tm", "Tm", "Dy", "Tm", "Pm", "Tm", "La", "Pm", "Tm"], "fractional_positions": [[0.5047, 0.0093, 0.7500], [0.8244, 0.6488, 0.7500], [0.1704, 0.3409, 0.7500], [0.8296, 0.6591, 0.2500], [0.3248, 0.6496, 0.9961], [0.1756, 0.3512, 0.2500], [0.3248, 0.6496, 0.5039], [0.0000, 0.0000, 0.5000], [0.6752, 0.3504, 0.4961], [0.4953, 0.9907, 0.2500], [0.0000, 0.0000, 0.0000], [0.6752, 0.3504, 0.0039]]}

***

No. 21
{"formula": "LiHgPt2", "functional": "GGA-PBE", "state": "optimized geometry", "e_tot_ev_per_atom": -3.756, "formation_enthalpy_0k_mev_per_atom": -182, "dos_ef_per_ev_cell": 1.19, "lattice": [[2.7677, -0.0018, 0.0000], [-1.3504, 2.4159, 0.0000], [0.0000, 0.0000, 10.0532]], "species": ["Pt", "Hg", "Pt", "Li"], "fractional_positions": [[0.0000, 0.0000, 0.5359], [0.5000, 0.5000, 0.2500], [0.0000, 0.0000, 0.9641], [0.5000, 0.5000, 0.7500]]}

***

No. 22
{"formula": "Rb2PmPuO6", "functional": "GGA-PBE", "state": "optimized geometry", "e_tot_ev_per_atom": -7.583, "e_form_raw_ev_per_atom": -2.51, "lattice": [[-2.2068, 5.6013, -1.5255], [-5.7196, -1.8185, 1.5968], [1.4050, 2.7893, 8.2091]], "species": ["Rb", "Pu", "O", "Pm", "O", "Pm", "O", "O", "Rb", "O", "O", "O", "O", "Pu", "Rb", "Rb", "O", "O", "O", "O"], "fractional_positions": [[0.5000, 0.7501, 0.2500], [0.5000, 0.2498, 0.5000], [0.0000, 0.7502, 0.7688], [0.5000, 0.2502, 0.0000], [0.7311, 0.0185, 0.5000], [0.0000, 0.7498, 0.5000], [0.2311, 0.9815, 0.0000], [0.7688, 0.5190, 0.0000], [0.5000, 0.7501, 0.7500], [0.2689, 0.0185, 0.5000], [0.7312, 0.4810, 0.5000], [0.5000, 0.2498, 0.2688], [0.2688, 0.4810, 0.5000], [0.0000, 0.7502, 0.0000], [0.0000, 0.2499, 0.2500], [0.0000, 0.2499, 0.7500], [0.7689, 0.9815, 0.0000], [0.5000, 0.2498, 0.7312], [0.0000, 0.7502, 0.2312], [0.2312, 0.5190, 0.0000]]}

***

No. 23
{"formula": "NiIr", "functional": "GGA-PBE", "state": "optimized geometry", "e_tot_ev_per_atom": -7.295, "formation_enthalpy_0k_mev_per_atom": 26, "dos_ef_per_ev_cell": 3.42, "lattice": [[4.4725, 0.0086, 0.0053], [3.6690, 2.5576, 0.0053], [3.6690, 1.1565, 2.2812]], "species": ["Ni", "Ir"], "fractional_positions": [[0.5000, 0.5000, 0.5000], [0.0000, 0.0000, 0.0000]]}

***

No. 24
{"formula": "Ac2Mg2Sn", "functional": "GGA-PBE", "state": "optimized geometry", "e_tot_ev_per_atom": -3.205, "formation_enthalpy_0k_mev_per_atom": -123, "dos_ef_per_ev_cell": 4.26, "lattice": [[4.1099, 0.0000, 0.0000], [0.0000, 4.1099, 0.0000], [-2.0550, -2.0550, 10.2755]], "species": ["Ac", "Mg", "Sn", "Mg", "Ac"], "fractional_positions": [[0.4026, 0.4026, 0.8051], [0.2500, 0.7500, 0.5000], [0.0000, 0.0000, 0.0000], [0.7500, 0.2500, 0.5000], [0.5974, 0.5974, 0.1949]]}

***

No. 25
{"formula": "Ho3ZnCd3", "functional": "GGA-PBE", "state": "optimized geometry", "e_tot_ev_per_atom": -2.806, "formation_enthalpy_0k_mev_per_atom": -270, "dos_ef_per_ev_cell": 6.87, "lattice": [[4.7198, 0.0000, -1.0297], [-0.1729, 3.4110, -0.7924], [-0.1686, 0.6424, 10.5592]], "species": ["Cd", "Cd", "Ho", "Cd", "Ho", "Ho", "Zn"], "fractional_positions": [[0.5643, 0.5643, 0.1286], [0.8593, 0.3593, 0.7186], [0.3043, 0.8043, 0.6086], [0.1437, 0.6437, 0.2874], [0.7009, 0.2009, 0.4018], [0.9954, 0.9954, 0.9908], [0.4321, 0.4321, 0.8643]]}